[1]
## MnRe2Os6 (PBE)

Data for crystalline MnRe2Os6 at its relaxed geometry.

```
MnRe2Os6
1.0
5.169 0.083 0.832
0.955 7.065 2.350
0.234 0.744 7.466
Os Mn Re
12 2 4
direct
0.500 0.339 0.658
0.294 0.021 0.615
0.776 0.998 0.736
0.500 0.661 0.342
0.276 0.736 0.998
0.724 0.264 0.002
0.206 0.385 0.979
0.000 0.658 0.339
0.000 0.342 0.661
0.794 0.615 0.021
0.224 0.002 0.264
0.706 0.979 0.385
0.250 0.079 0.921
0.750 0.921 0.079
0.907 0.292 0.356
0.093 0.708 0.644
0.407 0.356 0.292
0.593 0.644 0.708
```

- V (Å³ per atom) = 14.57
- formation enthalpy at 0 K (meV/atom) = 283
- symmetry = C2/c, No. 15



[2]
## ZnAg4Br6 (PBE)

Data for crystalline ZnAg4Br6 at its relaxed geometry.

```
ZnAg4Br6
1.0
0.262 5.211 5.821
5.911 -0.045 5.022
8.580 9.663 -3.788
Br Ag Zn
12 8 2
direct
0.961 0.602 0.954
0.919 0.027 0.645
0.456 0.098 0.969
0.020 0.153 0.266
0.477 0.598 0.469
0.247 0.328 0.705
0.960 0.090 0.952
0.408 0.527 0.145
0.998 0.590 0.452
0.560 0.653 0.766
0.721 0.828 0.205
0.483 0.102 0.454
0.767 0.177 0.153
0.079 0.486 0.150
0.776 0.206 0.459
0.691 0.237 0.807
0.903 0.677 0.653
0.559 0.706 0.959
0.285 0.986 0.650
0.264 0.737 0.307
0.148 0.281 0.895
0.676 0.781 0.395
```

- V (Å³ per atom) = 30.15
- raw formation energy (eV per atom) = -0.473
- symmetry = Cc, No. 9



[3]
## CeCd2Cu (PBE)

Data for crystalline CeCd2Cu at its relaxed geometry.

```
CeCd2Cu
1.0
3.093 0.000 0.000
0.000 3.093 0.000
0.000 0.000 8.621
Ce Cd Cu
1 2 1
direct
0.500 0.500 0.500
0.000 0.000 0.799
0.000 0.000 0.201
0.500 0.500 0.000
```

- V (Å³ per atom) = 20.63
- formation enthalpy at 0 K (meV/atom) = -68
- symmetry = P4/mmm, No. 123



[4]
## Tm3Al4Ag4 (PBE)

Data for crystalline Tm3Al4Ag4 at its relaxed geometry.

```
Tm3Al4Ag4
1.0
-0.725 2.410 -2.366
-1.918 -3.222 -2.691
-13.736 1.874 3.591
Ag Tm Al
4 3 4
direct
0.594 0.094 0.813
0.263 0.263 0.474
0.406 0.906 0.187
0.737 0.737 0.526
0.858 0.358 0.284
0.000 0.000 0.000
0.142 0.642 0.716
0.312 0.813 0.374
0.453 0.453 0.094
0.688 0.188 0.626
0.547 0.547 0.906
```

- V (Å³ per atom) = 20.33
- formation enthalpy at 0 K (meV/atom) = -358
- symmetry = P-1, No. 2